Entry 1:
Entry from Alexandria: a relaxed Ba2Ga4SnHg3 crystal (GGA-PBE).

Computed properties:
Formation energy from the elements = -0.38 eV per atom
Space group = P-4m2

a = 4.828 Å, b = 4.828 Å, c = 11.437 Å
α = 90.00°, β = 90.00°, γ = 90.00°
Positions (direct):
Ba1 0.000 0.500 0.247
Ba2 0.500 0.000 0.753
Ga1 0.000 0.000 0.000
Ga2 0.000 0.500 0.636
Ga3 0.500 0.000 0.364
Ga4 0.500 0.500 0.000
Sn1 0.000 0.000 0.500
Hg1 0.000 0.500 0.874
Hg2 0.500 0.000 0.126
Hg3 0.500 0.500 0.500



Entry 2:
Entry from Alexandria: a relaxed DyTm3Zr crystal (GGA-PBE).

Computed properties:
Excess energy over the best structure of this formula in the dataset = 0.000 eV per atom
Formation energy from the elements = 0.06 eV per atom
Space group = P-1

a = 3.422 Å, b = 9.100 Å, c = 9.735 Å
α = 74.37°, β = 89.96°, γ = 79.18°
Positions (direct):
Dy1 0.103 0.293 0.058
Dy2 0.897 0.707 0.942
Tm1 0.108 0.287 0.546
Tm2 0.296 0.907 0.158
Tm3 0.497 0.505 0.748
Tm4 0.503 0.495 0.252
Tm5 0.704 0.093 0.842
Tm6 0.892 0.713 0.454
Zr1 0.296 0.908 0.638
Zr2 0.704 0.092 0.362



Entry 3:
Entry from Alexandria: a relaxed Ag3S2 crystal (GGA-PBE).

Computed properties:
Formation energy without anion corrections = 18 kJ/mol of formula units
Space group = Fdd2

a = 8.594 Å, b = 6.695 Å, c = 10.549 Å
α = 54.39°, β = 39.30°, γ = 86.31°
Positions (direct):
Ag1 0.000 0.000 0.000
Ag2 0.250 0.250 0.250
Ag3 0.414 0.813 0.279
Ag4 0.756 0.971 0.437
Ag5 0.813 0.414 0.494
Ag6 0.971 0.756 0.836
S1 0.335 0.641 0.620
S2 0.630 0.846 0.915
S3 0.641 0.335 0.404
S4 0.846 0.630 0.609



Entry 4:
Entry from Alexandria: a relaxed LiLa2AgIr crystal (GGA-PBE).

Computed properties:
Excess energy over the best structure of this formula in the dataset = 0.284 eV per atom
Formation energy from the elements = -0.15 eV per atom
Space group = P4/mmm

a = 5.469 Å, b = 5.469 Å, c = 5.351 Å
α = 90.00°, β = 90.00°, γ = 90.00°
Positions (direct):
Li1 0.000 0.000 0.000
La1 0.000 0.500 0.500
La2 0.500 0.000 0.500
Ag1 0.500 0.500 0.000
Ir1 0.500 0.500 0.500



Entry 5:
Entry from Alexandria: a relaxed Ca2TeRu crystal (GGA-PBE).

Computed properties:
Formation energy without anion corrections = -56 kJ/mol of formula units
Space group = R-3m

a = 8.850 Å, b = 8.850 Å, c = 8.850 Å
α = 24.45°, β = 24.45°, γ = 24.45°
Positions (direct):
Ca1 0.243 0.243 0.243
Ca2 0.757 0.757 0.757
Te1 0.000 0.000 0.000
Ru1 0.500 0.500 0.500



Entry 6:
Entry from Alexandria: a relaxed Tb4BI5 crystal (GGA-PBE).

Computed properties:
Excess energy over the best structure of this formula in the dataset = 0.000 eV per atom
Formation energy without anion corrections = -1050 kJ/mol of formula units
Space group = C2/m

a = 9.761 Å, b = 9.761 Å, c = 8.697 Å
α = 102.33°, β = 102.33°, γ = 24.09°
Positions (direct):
Tb1 0.001 0.001 0.304
Tb2 0.364 0.364 0.432
Tb3 0.636 0.636 0.568
Tb4 0.999 0.999 0.696
B1 0.500 0.500 0.500
I1 0.165 0.165 0.841
I2 0.171 0.171 0.325
I3 0.500 0.500 0.000
I4 0.829 0.829 0.675
I5 0.835 0.835 0.159